# 1
{"formula": "TbNd2Sm2Y4", "functional": "PBE", "state": "relaxed", "lattice_angstrom": [[3.639, 0.000, 0.000], [-1.819, 9.431, -0.491], [0.000, -3.742, 8.925]], "species": ["Y", "Y", "Y", "Y", "Sm", "Sm", "Nd", "Nd", "Tb"], "frac_coords": [[0.481, 0.961, 0.667], [0.815, 0.630, 0.665], [0.185, 0.370, 0.335], [0.519, 0.039, 0.333], [0.852, 0.704, 0.336], [0.148, 0.296, 0.664], [0.335, 0.669, 0.000], [0.665, 0.331, 0.000], [0.000, 0.000, 0.000]], "delta_e_f_mev_per_atom": -1, "space_group": "C2/m, No. 12"}

=====

# 2
{"formula": "KRbAsNCl", "functional": "PBE", "state": "relaxed", "lattice_angstrom": [[-1.530, 3.375, 0.791], [-3.537, -1.646, 0.183], [1.530, -2.318, 8.718]], "species": ["Rb", "Cl", "N", "K", "As"], "frac_coords": [[0.886, 0.000, 0.504], [0.330, 0.500, 0.258], [0.555, 0.500, 0.696], [0.787, 0.000, 0.073], [0.219, 0.500, 0.811]], "relative_energy_ev_per_atom": 0.0386, "space_group": "Pm, No. 6", "raw_formation_energy_mev_per_atom": -582}

=====

# 3
{"formula": "Dy2InSi2Ir5", "functional": "PBE", "state": "relaxed", "lattice_angstrom": [[-2.964, 1.879, 0.648], [-0.874, -4.376, 8.692], [5.371, 7.060, 4.095]], "species": ["Dy", "Dy", "Dy", "Dy", "Ir", "Ir", "Ir", "Ir", "Ir", "Ir", "Ir", "Ir", "Ir", "Ir", "In", "In", "Si", "Si", "Si", "Si"], "frac_coords": [[0.000, 0.176, 0.324], [0.000, 0.824, 0.676], [0.000, 0.324, 0.824], [0.000, 0.676, 0.176], [0.500, 0.000, 0.500], [0.500, 0.932, 0.217], [0.500, 0.068, 0.783], [0.500, 0.217, 0.068], [0.500, 0.783, 0.932], [0.500, 0.717, 0.432], [0.500, 0.500, 0.000], [0.500, 0.568, 0.717], [0.500, 0.283, 0.568], [0.500, 0.432, 0.283], [0.000, 0.500, 0.500], [0.000, 0.000, 0.000], [0.000, 0.878, 0.378], [0.000, 0.622, 0.878], [0.000, 0.122, 0.622], [0.000, 0.378, 0.122]], "space_group": "P4/mbm, No. 127", "raw_formation_energy_mev_per_atom": -811}

=====

# 4
{"formula": "Ho3PuTh4Se8", "functional": "PBE", "state": "relaxed", "lattice_angstrom": [[8.094, 0.000, 0.000], [0.000, 8.467, 0.256], [-4.047, -4.044, 5.726]], "species": ["Th", "Th", "Th", "Th", "Pu", "Se", "Se", "Se", "Se", "Se", "Se", "Se", "Se", "Ho", "Ho", "Ho"], "frac_coords": [[0.500, 0.000, 0.000], [0.500, 0.000, 0.500], [0.000, 0.000, 0.000], [0.000, 0.000, 0.500], [0.000, 0.500, 0.000], [0.247, 0.735, 0.988], [0.753, 0.265, 0.012], [0.744, 0.733, 0.489], [0.247, 0.735, 0.493], [0.741, 0.735, 0.988], [0.753, 0.265, 0.507], [0.259, 0.265, 0.012], [0.256, 0.267, 0.511], [0.000, 0.500, 0.500], [0.500, 0.500, 0.000], [0.500, 0.500, 0.500]], "space_group": "R-3m, No. 166", "raw_formation_energy_mev_per_atom": -1613}

=====

# 5
{"formula": "CsPbC2O6", "functional": "PBE", "state": "relaxed", "lattice_angstrom": [[7.011, 0.214, -0.227], [-0.646, 6.984, -0.227], [-2.079, -2.351, 7.240]], "species": ["O", "O", "O", "O", "O", "O", "O", "O", "O", "O", "O", "O", "Cs", "Cs", "C", "C", "C", "C", "Pb", "Pb"], "frac_coords": [[0.245, 0.554, 0.404], [0.281, 0.280, 0.680], [0.022, 0.691, 0.803], [0.720, 0.719, 0.820], [0.978, 0.309, 0.197], [0.446, 0.755, 0.096], [0.755, 0.446, 0.596], [0.309, 0.978, 0.697], [0.691, 0.022, 0.303], [0.280, 0.281, 0.180], [0.554, 0.245, 0.904], [0.719, 0.720, 0.320], [0.107, 0.893, 0.250], [0.893, 0.107, 0.750], [0.831, 0.613, 0.733], [0.387, 0.169, 0.767], [0.613, 0.831, 0.233], [0.169, 0.387, 0.267], [0.355, 0.645, 0.750], [0.645, 0.355, 0.250]], "space_group": "C2/c, No. 15", "raw_formation_energy_mev_per_atom": -1408}

=====

# 6
{"formula": "HfMnAs2Br", "functional": "PBE", "state": "relaxed", "lattice_angstrom": [[4.741, 0.000, 0.000], [0.000, 4.741, 0.000], [0.000, 0.000, 4.797]], "species": ["Br", "Mn", "As", "As", "Hf"], "frac_coords": [[0.000, 0.000, 0.500], [0.000, 0.000, 0.000], [0.000, 0.500, 0.000], [0.500, 0.000, 0.000], [0.500, 0.500, 0.500]], "relative_energy_ev_per_atom": 0.1562, "space_group": "P4/mmm, No. 123", "raw_formation_energy_mev_per_atom": 388}

=====

# 7
{"formula": "Pu2GaGe", "functional": "PBE", "state": "relaxed", "lattice_angstrom": [[4.273, 0.000, 0.000], [0.000, 4.512, 0.000], [0.000, 0.000, 4.512]], "species": ["Ge", "Ga", "Pu", "Pu"], "frac_coords": [[0.500, 0.000, 0.000], [0.500, 0.500, 0.500], [0.000, 0.500, 0.000], [0.000, 0.000, 0.500]], "delta_e_f_mev_per_atom": -383, "space_group": "P4/mmm, No. 123"}

=====

# 8
{"formula": "Pm2BeHPt6", "functional": "PBE", "state": "relaxed", "lattice_angstrom": [[-1.688, -2.892, -4.643], [3.810, -5.156, 1.861], [-1.747, -6.345, 1.096]], "species": ["Pm", "Pm", "Pt", "Pt", "Pt", "Pt", "Pt", "Pt", "Be", "H"], "frac_coords": [[0.778, 0.223, 0.442], [0.222, 0.777, 0.558], [0.763, 0.725, 0.476], [0.237, 0.275, 0.524], [0.728, 0.764, 0.034], [0.762, 0.237, 0.966], [0.238, 0.763, 0.034], [0.272, 0.236, 0.966], [0.500, 0.500, 0.000], [0.000, 0.000, 0.000]], "energy_ev_per_atom": -6.089, "space_group": "P-1, No. 2"}

=====

# 9
{"formula": "CoAg2Cl", "functional": "PBE", "state": "relaxed", "lattice_angstrom": [[-0.574, -0.967, -4.479], [-1.146, -4.278, -1.311], [-4.226, -0.854, -1.655]], "species": ["Ag", "Ag", "Co", "Cl"], "frac_coords": [[0.000, 0.000, 0.000], [0.250, 0.250, 0.250], [0.750, 0.750, 0.750], [0.500, 0.500, 0.500]], "relative_energy_ev_per_atom": 0.4543, "space_group": "F-43m, No. 216", "raw_formation_energy_mev_per_atom": 584}

=====

# 10
{"formula": "BaPmZnHg", "functional": "PBE", "state": "relaxed", "lattice_angstrom": [[-3.836, 1.074, -3.905], [-5.414, 0.039, 1.345], [-2.813, 4.816, 0.103]], "species": ["Zn", "Pm", "Ba", "Hg"], "frac_coords": [[0.000, 0.000, 0.000], [0.750, 0.750, 0.750], [0.250, 0.250, 0.250], [0.500, 0.500, 0.500]], "delta_e_f_mev_per_atom": -253, "space_group": "F-43m, No. 216"}

=====

# 11
{"formula": "KErHgF6", "functional": "PBE", "state": "relaxed", "lattice_angstrom": [[6.149, 0.000, 0.000], [-3.075, 5.326, 0.000], [0.000, 0.000, 10.584]], "species": ["Er", "Er", "F", "F", "F", "F", "F", "F", "F", "F", "F", "F", "F", "F", "Hg", "Hg", "K", "K"], "frac_coords": [[0.333, 0.667, 0.750], [0.667, 0.333, 0.250], [0.642, 0.621, 0.141], [0.621, 0.642, 0.641], [0.358, 0.978, 0.641], [0.022, 0.379, 0.641], [0.358, 0.379, 0.859], [0.022, 0.642, 0.859], [0.621, 0.978, 0.859], [0.978, 0.621, 0.359], [0.642, 0.022, 0.359], [0.379, 0.358, 0.359], [0.978, 0.358, 0.141], [0.379, 0.022, 0.141], [0.333, 0.667, 0.250], [0.667, 0.333, 0.750], [0.000, 0.000, 0.000], [0.000, 0.000, 0.500]], "space_group": "P-31c, No. 163", "raw_formation_energy_mev_per_atom": -2930}

=====

# 12
{"formula": "Mo3CBr", "functional": "PBE", "state": "relaxed", "lattice_angstrom": [[4.236, 0.000, 0.000], [0.000, 4.236, 0.000], [0.000, 0.000, 4.236]], "species": ["Mo", "Mo", "Mo", "C", "Br"], "frac_coords": [[0.000, 0.500, 0.000], [0.000, 0.000, 0.500], [0.500, 0.000, 0.000], [0.000, 0.000, 0.000], [0.500, 0.500, 0.500]], "relative_energy_ev_per_atom": 0.0000, "space_group": "Pm-3m, No. 221", "raw_formation_energy_mev_per_atom": 806}

=====

# 13
{"formula": "BeRe2Ir", "functional": "PBE", "state": "relaxed", "lattice_angstrom": [[3.938, 0.000, 0.000], [0.000, 2.731, 0.013], [0.000, 1.367, 5.030]], "species": ["Re", "Re", "Ir", "Be"], "frac_coords": [[0.000, 0.924, 0.005], [0.500, 0.309, 0.272], [0.500, 0.569, 0.732], [0.000, 0.697, 0.490]], "delta_e_f_mev_per_atom": -94, "space_group": "Pm, No. 6"}

=====

# 14
{"formula": "TcAs2W", "functional": "PBE", "state": "relaxed", "lattice_angstrom": [[-1.084, -4.884, 0.551], [1.346, -2.295, -4.272], [1.736, 2.566, 3.967]], "species": ["W", "Tc", "As", "As"], "frac_coords": [[0.250, 0.750, 0.500], [0.750, 0.250, 0.500], [0.505, 0.505, 0.000], [0.995, 0.995, 0.000]], "delta_e_f_mev_per_atom": 474, "relative_energy_ev_per_atom": 0.4430, "space_group": "Immm, No. 71"}

=====

# 15
{"formula": "CeGe6Pt12", "functional": "PBE", "state": "relaxed", "lattice_angstrom": [[7.310, -0.086, -0.121], [-1.896, 7.061, -0.121], [-1.896, -2.442, 6.626]], "species": ["Pt", "Pt", "Pt", "Pt", "Pt", "Pt", "Pt", "Pt", "Pt", "Pt", "Pt", "Pt", "Ge", "Ge", "Ge", "Ge", "Ge", "Ge", "Ce"], "frac_coords": [[0.129, 0.871, 0.500], [0.500, 0.871, 0.129], [0.629, 0.629, 0.866], [0.629, 0.866, 0.629], [0.500, 0.129, 0.871], [0.134, 0.371, 0.371], [0.866, 0.629, 0.629], [0.871, 0.129, 0.500], [0.371, 0.371, 0.134], [0.129, 0.500, 0.871], [0.871, 0.500, 0.129], [0.371, 0.134, 0.371], [0.324, 0.740, 0.740], [0.740, 0.324, 0.740], [0.260, 0.260, 0.676], [0.260, 0.676, 0.260], [0.676, 0.260, 0.260], [0.740, 0.740, 0.324], [0.000, 0.000, 0.000]], "delta_e_f_mev_per_atom": -415, "space_group": "R-3m, No. 166"}

=====

# 16
{"formula": "La3Nd2N3", "functional": "PBE", "state": "relaxed", "lattice_angstrom": [[-4.529, -2.371, -0.739], [5.068, -3.267, -2.527], [1.394, -5.904, 10.399]], "species": ["La", "La", "La", "La", "La", "La", "N", "N", "N", "N", "N", "N", "Nd", "Nd", "Nd", "Nd"], "frac_coords": [[0.745, 0.491, 0.251], [0.947, 0.894, 0.880], [0.051, 0.101, 0.377], [0.254, 0.509, 0.750], [0.057, 0.114, 0.119], [0.657, 0.314, 0.570], [0.221, 0.442, 0.250], [0.842, 0.684, 0.055], [0.780, 0.559, 0.754], [0.152, 0.304, 0.553], [0.838, 0.676, 0.444], [0.163, 0.325, 0.945], [0.939, 0.877, 0.618], [0.336, 0.672, 0.070], [0.329, 0.659, 0.434], [0.669, 0.338, 0.934]], "space_group": "Cm, No. 8", "raw_formation_energy_mev_per_atom": -901}

=====

# 17
{"formula": "Cs2Li2Ni", "functional": "PBE", "state": "relaxed", "lattice_angstrom": [[7.493, 0.000, 0.000], [0.000, 7.493, 0.000], [0.000, 0.000, 6.140]], "species": ["Li", "Li", "Li", "Li", "Ni", "Ni", "Cs", "Cs", "Cs", "Cs"], "frac_coords": [[0.831, 0.669, 0.000], [0.669, 0.169, 0.000], [0.169, 0.331, 0.000], [0.331, 0.831, 0.000], [0.000, 0.000, 0.000], [0.500, 0.500, 0.000], [0.693, 0.807, 0.500], [0.193, 0.693, 0.500], [0.307, 0.193, 0.500], [0.807, 0.307, 0.500]], "delta_e_f_mev_per_atom": 495, "space_group": "P4/mbm, No. 127"}

=====

# 18
{"formula": "BaVIn3", "functional": "PBE", "state": "relaxed", "lattice_angstrom": [[5.280, 0.000, 0.000], [0.000, 5.280, 0.000], [0.000, 0.000, 5.280]], "species": ["In", "In", "In", "V", "Ba"], "frac_coords": [[0.000, 0.000, 0.500], [0.500, 0.000, 0.000], [0.000, 0.500, 0.000], [0.000, 0.000, 0.000], [0.500, 0.500, 0.500]], "delta_e_f_mev_per_atom": -68, "relative_energy_ev_per_atom": 0.0000, "space_group": "Pm-3m, No. 221"}

=====

# 19
{"formula": "CaScS2", "functional": "PBE", "state": "relaxed", "lattice_angstrom": [[-2.239, -3.840, 6.744], [0.491, -1.001, 8.000], [-3.440, 0.076, 7.308]], "species": ["S", "S", "Sc", "Ca"], "frac_coords": [[0.898, 0.898, 0.898], [0.102, 0.102, 0.102], [0.000, 0.000, 0.000], [0.500, 0.500, 0.500]], "relative_energy_ev_per_atom": 0.6295, "space_group": "R-3m, No. 166", "raw_formation_energy_mev_per_atom": -1346}

=====

# 20
{"formula": "PuMgRu2", "functional": "PBE", "state": "relaxed", "lattice_angstrom": [[3.361, 0.000, 0.000], [0.000, 4.503, 0.000], [0.000, 0.000, 4.503]], "species": ["Ru", "Ru", "Pu", "Mg"], "frac_coords": [[0.000, 0.000, 0.500], [0.000, 0.500, 0.000], [0.500, 0.000, 0.000], [0.500, 0.500, 0.500]], "delta_e_f_mev_per_atom": -140, "space_group": "P4/mmm, No. 123"}

=====

# 21
{"formula": "HoHfZr3", "functional": "PBE", "state": "relaxed", "lattice_angstrom": [[-2.566, -2.780, -3.056], [5.435, -0.563, -4.052], [2.191, -6.199, 3.799]], "species": ["Zr", "Zr", "Zr", "Zr", "Zr", "Zr", "Ho", "Ho", "Hf", "Hf"], "frac_coords": [[0.250, 0.043, 0.223], [0.250, 0.250, 0.792], [0.750, 0.750, 0.208], [0.250, 0.457, 0.223], [0.750, 0.957, 0.777], [0.750, 0.543, 0.777], [0.750, 0.250, 0.453], [0.250, 0.750, 0.547], [0.750, 0.250, 0.056], [0.250, 0.750, 0.944]], "delta_e_f_mev_per_atom": 179, "space_group": "Pmmn, No. 59"}

=====

# 22
{"formula": "CaSe2O", "functional": "PBE", "state": "relaxed", "lattice_angstrom": [[-2.649, -4.557, 2.420], [-1.065, -2.179, -5.269], [3.224, -6.237, -1.265]], "species": ["O", "O", "Se", "Se", "Se", "Se", "Ca", "Ca"], "frac_coords": [[0.500, 0.500, 0.000], [0.250, 0.750, 0.500], [0.484, 0.125, 0.250], [0.375, 0.516, 0.750], [0.266, 0.625, 0.250], [0.875, 0.734, 0.750], [0.000, 0.000, 0.000], [0.750, 0.250, 0.500]], "space_group": "I-42d, No. 122", "raw_formation_energy_mev_per_atom": -547}

=====

# 23
{"formula": "ScTc2Ir", "functional": "PBE", "state": "relaxed", "lattice_angstrom": [[-0.019, 2.558, -3.649], [-0.374, -3.066, -2.147], [-3.743, 0.297, 0.228]], "species": ["Ir", "Tc", "Tc", "Sc"], "frac_coords": [[0.500, 0.500, 0.000], [0.000, 0.000, 0.000], [0.000, 0.500, 0.500], [0.500, 0.000, 0.500]], "delta_e_f_mev_per_atom": -154, "relative_energy_ev_per_atom": 0.0389, "space_group": "P4/mmm, No. 123"}